(1)
# CsAlAs | the Alexandria database | PBE-GGA | relaxed
# - energy above the lowest structure with this stoichiometry (eV per atom) = 0.113
# - energy (eV per formula unit) = -10.19
data_CsAlAs
_chemical_formula_sum 'Cs4 Al4 As4'
_cell_length_a 7.4767
_cell_length_b 7.6911
_cell_length_c 7.9990
_cell_angle_alpha 90.00
_cell_angle_beta 113.58
_cell_angle_gamma 90.00
_symmetry_space_group_name_H-M 'P 1 21/c 1'
_symmetry_Int_Tables_number 14
loop_
_symmetry_equiv_pos_as_xyz
'x,y,z'
'-x,-y,-z'
'-x,y+1/2,-z+1/2'
'x,-y+1/2,z+1/2'
loop_
_atom_site_label
_atom_site_type_symbol
_atom_site_fract_x
_atom_site_fract_y
_atom_site_fract_z
Cs1 Cs 0.1690 0.1515 0.3768
Al1 Al 0.3545 0.6146 0.5821
As1 As 0.3968 0.6266 0.2879


(2)
# CsAlAs | the Alexandria database | PBE-GGA | relaxed
# - energy above the lowest structure with this stoichiometry (eV per atom) = 0.223
# - energy (eV per formula unit) = -9.86
data_CsAlAs
_chemical_formula_sum 'Cs4 Al4 As4'
_cell_length_a 4.0944
_cell_length_b 19.4475
_cell_length_c 5.1836
_cell_angle_alpha 90.00
_cell_angle_beta 90.00
_cell_angle_gamma 90.00
_symmetry_space_group_name_H-M 'C m c m'
_symmetry_Int_Tables_number 63
_symmetry_space_group_name_Hall '-C 2c 2'
loop_
_atom_site_label
_atom_site_type_symbol
_atom_site_fract_x
_atom_site_fract_y
_atom_site_fract_z
Cs1 Cs 0.0000 0.1762 0.2500
Al1 Al 0.0000 0.0331 0.7500
As1 As 0.0000 0.3965 0.2500


(3)
# Cs2AlAs | the Alexandria database | PBE-GGA | relaxed
# - energy above the lowest structure with this stoichiometry (eV per atom) = 0.219
# - energy (eV per formula unit) = -7.97
data_Cs2AlAs
_chemical_formula_sum 'Cs8 Al4 As4'
_cell_length_a 5.2243
_cell_length_b 5.2243
_cell_length_c 24.3445
_cell_angle_alpha 90.00
_cell_angle_beta 90.00
_cell_angle_gamma 90.00
_symmetry_space_group_name_H-M 'I -4 2 d'
_symmetry_Int_Tables_number 122
_symmetry_space_group_name_Hall 'I -4 2bw'
loop_
_atom_site_label
_atom_site_type_symbol
_atom_site_fract_x
_atom_site_fract_y
_atom_site_fract_z
Cs1 Cs 0.2481 0.2500 0.1250
Al1 Al 0.0000 0.0000 0.0000
As1 As 0.0000 0.0000 0.5000


(4)
# Cs3Al2As4 | the Alexandria database | PBE-GGA | relaxed
# - energy (eV per formula unit) = -32.75
data_Cs3Al2As4
_chemical_formula_sum 'Cs6 Al4 As8'
_cell_length_a 18.0763
_cell_length_b 4.2134
_cell_length_c 8.5276
_cell_angle_alpha 90.00
_cell_angle_beta 113.07
_cell_angle_gamma 90.00
_symmetry_space_group_name_H-M 'C 1 2/m 1'
_symmetry_Int_Tables_number 12
loop_
_symmetry_equiv_pos_as_xyz
'x,y,z'
'-x,-y,-z'
'-x,y,-z'
'x,-y,z'
'x+1/2,y+1/2,z'
'-x+1/2,-y+1/2,-z'
'-x+1/2,y+1/2,-z'
'x+1/2,-y+1/2,z'
loop_
_atom_site_label
_atom_site_type_symbol
_atom_site_fract_x
_atom_site_fract_y
_atom_site_fract_z
Cs1 Cs 0.0000 0.0000 0.0000
Cs2 Cs 0.1503 0.0000 0.7699
Al1 Al 0.1746 0.5000 0.4317
As1 As 0.0241 0.5000 0.3865
As2 As 0.2015 0.0000 0.2913


Per-record formation energy, eV/atom: -0.314; -0.203; 0.532; -0.456
Per-record DOS(E_F), states/eV/cell: 2.50; 5.75; 14.49; 2.97